Compound: K2AsF2
Source: the Alexandria database
Functional: PBE
Structure: relaxed

Cell: 4.9973 4.9973 7.1084 Å, 69.42 69.42 90.00°
Each line ends with the local moment (μB).
Fractional positions:
As: 0.0000 0.0000 0.0000  1.24
K: 0.3039 0.3039 0.3921  0.00
K: 0.6961 0.6961 0.6079  0.00
F: 0.7500 0.2500 0.5000  0.04
F: 0.2500 0.7500 0.5000  0.04

Results
Crystal system: tetragonal
Symmetry: No. 139
Formation energy from raw total energies in eV per atom: -1.474
Raw total energy in eV for the cell shown: -18.0
Volume in A^3/atom: 30.81
DOS(E_F) in states/eV/atom: 0.00
Offset from the most stable computed form in eV per atom: 0.000

=====

Compound: TlPd2F4
Source: the Alexandria database
Functional: PBE
Structure: relaxed

Cell: 4.2029 5.9021 5.9021 Å, 90.00 90.00 90.00°
Each line ends with the local moment (μB).
Fractional positions:
Tl: 0.0000 0.0000 0.0000  0.00
Pd: 0.5000 0.5000 0.0000  0.08
Pd: 0.5000 0.0000 0.5000  0.08
F: 0.5026 0.7584 0.2416  0.01
F: 0.4974 0.2416 0.2416  0.01
F: 0.5026 0.2416 0.7584  0.01
F: 0.4974 0.7584 0.7584  0.01

Results
Crystal system: tetragonal
Symmetry: No. 111
Formation energy from raw total energies in eV per atom: -1.133
Raw total energy in eV for the cell shown: -28.2
Volume in A^3/atom: 20.92
DOS(E_F) in states/eV/atom: 0.27